[1]
The following is a DFT calculation (PBE-GGA) of a relaxed structure of HgPdPb.

POSCAR file:
```
HgPdPb
1.0
-4.2025 -2.7111 -2.1019
1.6220 -5.7664 4.1948
-4.6053 4.2477 3.7288
Pb Hg Pd
4 4 4
Direct
0.6269 0.3628 0.6368
0.8731 0.3628 0.1368
0.3731 0.6372 0.3632
0.1269 0.6372 0.8632
0.9154 0.9389 0.2933
0.5846 0.9389 0.7933
0.0846 0.0611 0.7067
0.4154 0.0611 0.2067
0.1261 0.3214 0.4791
0.3739 0.3214 0.9791
0.6261 0.6786 0.0209
0.8739 0.6786 0.5209
```

Properties
As for the crystal system: monoclinic. The space group is P2_1/c. Its energy relative to the elements is -14.64 kJ/mol of atoms. The electronic total energy comes out at -38.63 eV/cell. Its excess energy over the best structure of this formula in the dataset is 0.000 eV per atom.


[2]
The following is a DFT calculation (PBE-GGA) of a relaxed structure of CaMg2SiPd2.

POSCAR file:
```
CaMg2SiPd2
1.0
4.6625 0.0000 0.0000
0.0000 4.6625 0.0000
0.0000 0.0000 6.0608
Pd Si Mg Ca
2 1 2 1
Direct
0.0000 0.5000 0.0000
0.5000 0.0000 0.0000
0.0000 0.0000 0.0000
0.5000 0.5000 0.2532
0.5000 0.5000 0.7468
0.0000 0.0000 0.5000
```

Properties
As for the crystal system: tetragonal. The space group is P4/mmm. The uncorrected formation energy is -0.472 eV per atom. The electronic total energy comes out at -23.83 eV/cell.


| no. | total magnetic moment (μB/atom) |
| --- | --- |
| 1 | 0.000 |
| 2 | 0.000 |